The following is a PBE calculation of crystalline Ac3Sn2GePd6 at its relaxed geometry, from the Alexandria database.

Properties
The calculation puts the density of states at the Fermi level at 6.156 states/eV/cell. The formation energy from the elements comes out at -0.75 eV/atom.

a = 6.0960 Å, b = 6.0960 Å, c = 8.8508 Å
α = 90.00°, β = 90.00°, γ = 120.00°
Space group P-3m1 (No. 164)
Asymmetric unit:
Ac  0.0000  0.0000  0.0000 (multiplicity 1)
Ac  0.3333  0.6667  0.6480 (multiplicity 2)
Sn  0.3333  0.6667  0.0533 (multiplicity 2)
Ge  0.0000  0.0000  0.5000 (multiplicity 1)
Pd  0.1742  0.3483  0.3031 (multiplicity 6)

=====

The following is a PBE calculation of crystalline Ac3Sn2GePd9 at its relaxed geometry, from the Alexandria database.

Properties
The calculation puts the density of states at the Fermi level at 5.549 states/eV/cell. The formation energy from the elements comes out at -0.57 eV/atom.

a = 6.9178 Å, b = 6.9178 Å, c = 8.8362 Å
α = 90.00°, β = 90.00°, γ = 120.00°
Space group P-3m1 (No. 164)
Asymmetric unit:
Ac  0.0000  0.0000  0.0000 (multiplicity 1)
Ac  0.3333  0.6667  0.7037 (multiplicity 2)
Sn  0.3333  0.6667  0.1994 (multiplicity 2)
Ge  0.0000  0.0000  0.5000 (multiplicity 1)
Pd  0.0000  0.5000  0.0000 (multiplicity 3)
Pd  0.1340  0.2680  0.2930 (multiplicity 6)

=====

The following is a PBE calculation of crystalline AcSn2Ge2Pd7 at its relaxed geometry, from the Alexandria database.

Properties
The calculation puts the density of states at the Fermi level at 6.721 states/eV/cell. The formation energy from the elements comes out at -0.44 eV/atom.

a = 6.182 Å, b = 6.285 Å, c = 11.832 Å
α = 90.00°, β = 90.22°, γ = 90.00°
Space group C2/m (No. 12)
Asymmetric unit:
Ac  0.000  0.000  0.000 (multiplicity 2)
Sn  0.000  0.000  0.331 (multiplicity 4)
Ge  0.002  0.500  0.689 (multiplicity 4)
Pd  0.000  0.500  0.000 (multiplicity 2)
Pd  0.224  0.500  0.499 (multiplicity 4)
Pd  0.248  0.251  0.188 (multiplicity 8)

=====

The following is a PBE calculation of crystalline Ac3SnGe2Pd9 at its relaxed geometry, from the Alexandria database.

Properties
The calculation puts the density of states at the Fermi level at 6.671 states/eV/cell. The formation energy from the elements comes out at -0.63 eV/atom.

a = 6.6140 Å, b = 6.6140 Å, c = 9.2758 Å
α = 90.00°, β = 90.00°, γ = 120.00°
Space group P-3m1 (No. 164)
Asymmetric unit:
Ac  0.0000  0.0000  0.0000 (multiplicity 1)
Ac  0.3333  0.6667  0.6980 (multiplicity 2)
Sn  0.0000  0.0000  0.5000 (multiplicity 1)
Ge  0.3333  0.6667  0.1739 (multiplicity 2)
Pd  0.0000  0.5000  0.0000 (multiplicity 3)
Pd  0.1436  0.2871  0.2779 (multiplicity 6)

=====

The following is a PBE calculation of crystalline AcTbGePd at its relaxed geometry, from the Alexandria database.

Properties
The calculation puts the density of states at the Fermi level at 8.140 states/eV/cell. The formation energy from the elements comes out at -0.68 eV/atom.

a = 7.442 Å, b = 7.442 Å, c = 7.442 Å
α = 90.00°, β = 90.00°, γ = 90.00°
Space group F-43m (No. 216)
Asymmetric unit:
Ac  0.000  0.000  0.000 (multiplicity 4)
Tb  0.000  0.000  0.500 (multiplicity 4)
Ge  0.250  0.250  0.250 (multiplicity 4)
Pd  0.250  0.250  0.750 (multiplicity 4)

=====

The following is a PBE calculation of crystalline Ac2TbGe3Pd4 at its relaxed geometry, from the Alexandria database.

Properties
The calculation puts the density of states at the Fermi level at 5.648 states/eV/cell. The formation energy from the elements comes out at -0.85 eV/atom.

a = 4.426 Å, b = 4.426 Å, c = 11.291 Å
α = 90.00°, β = 90.00°, γ = 90.00°
Space group P-4m2 (No. 115)
Asymmetric unit:
Ac  0.000  0.500  0.228 (multiplicity 2)
Tb  0.000  0.000  0.500 (multiplicity 1)
Ge  0.000  0.500  0.883 (multiplicity 2)
Ge  0.500  0.500  0.500 (multiplicity 1)
Pd  0.000  0.000  0.000 (multiplicity 1)
Pd  0.000  0.500  0.656 (multiplicity 2)
Pd  0.500  0.500  0.000 (multiplicity 1)